This record from the Alexandria database describes a relaxed LiDyBi2 crystal. The functional is PBE-GGA.

The value obtained for the formation energy is -601.0 meV/atom. Its magnetic moment is 0.00 μB/cell. The density of states at the Fermi level comes out at 2.145 states/eV per cell. As for the relative energy among the computed polymorphs: 0 meV/atom.

Structure (CIF):
```
data_LiDyBi2
_cell_length_a 4.5021
_cell_length_b 4.5021
_cell_length_c 10.4219
_cell_angle_alpha 90.00
_cell_angle_beta 90.00
_cell_angle_gamma 90.00
_symmetry_space_group_name_H-M 'P 1'
_symmetry_Int_Tables_number 1
loop_
_symmetry_equiv_pos_as_xyz
'x,y,z'
loop_
_atom_site_label
_atom_site_type_symbol
_atom_site_fract_x
_atom_site_fract_y
_atom_site_fract_z
_atom_site_occupancy
Li1 Li 0.2500 0.7500 0.0000 1
Li2 Li 0.7500 0.2500 0.0000 1
Dy1 Dy 0.2500 0.2500 0.2601 1
Dy2 Dy 0.7500 0.7500 0.7399 1
Bi1 Bi 0.2500 0.2500 0.8294 1
Bi2 Bi 0.2500 0.7500 0.5000 1
Bi3 Bi 0.7500 0.2500 0.5000 1
Bi4 Bi 0.7500 0.7500 0.1706 1
```